No. 1
# GGA-PBE NbTlNiS3, relaxed
# Energy   -69.7 eV per cell
data_NbTlNiS3
_chemical_formula_sum 'Nb2 Tl2 Ni2 S6'
_space_group_name_H-M_alt 'P 1'
_space_group_IT_number 1
_space_group_name_Hall 'P 1'
_cell_length_a 8.072
_cell_length_b 3.521
_cell_length_c 9.619
_cell_angle_alpha 90.00
_cell_angle_beta 113.84
_cell_angle_gamma 90.00
loop_
_atom_site_label
_atom_site_type_symbol
_atom_site_fract_x
_atom_site_fract_y
_atom_site_fract_z
Nb1 Nb 0.035 0.250 0.326
Nb2 Nb 0.965 0.750 0.674
Tl1 Tl 0.497 0.250 0.209
Tl2 Tl 0.503 0.750 0.791
Ni1 Ni 0.029 0.750 0.110
Ni2 Ni 0.971 0.250 0.890
S1 S 0.164 0.750 0.939
S2 S 0.165 0.250 0.622
S3 S 0.258 0.750 0.343
S4 S 0.742 0.250 0.657
S5 S 0.835 0.750 0.378
S6 S 0.836 0.250 0.061

***

No. 2
# GGA-PBE ErTm2Hg, relaxed
# Energy above the lowest structure with this stoichiometry   0.0000 eV per atom
data_ErTm2Hg
_chemical_formula_sum 'Er2 Tm4 Hg2'
_space_group_name_H-M_alt 'P 1'
_space_group_IT_number 1
_space_group_name_Hall 'P 1'
_cell_length_a 5.051
_cell_length_b 6.644
_cell_length_c 6.644
_cell_angle_alpha 103.61
_cell_angle_beta 90.00
_cell_angle_gamma 90.00
loop_
_atom_site_label
_atom_site_type_symbol
_atom_site_fract_x
_atom_site_fract_y
_atom_site_fract_z
Er1 Er 0.250 0.114 0.886
Er2 Er 0.750 0.886 0.114
Tm1 Tm 0.250 0.531 0.305
Tm2 Tm 0.250 0.599 0.818
Tm3 Tm 0.750 0.305 0.531
Tm4 Tm 0.750 0.818 0.599
Hg1 Hg 0.250 0.032 0.387
Hg2 Hg 0.750 0.387 0.032

***

No. 3
# GGA-PBE LaErW2C3, relaxed
# Energy   -64.7 eV per cell
data_LaErW2C3
_chemical_formula_sum 'La1 Er1 W2 C3'
_space_group_name_H-M_alt 'P 1'
_space_group_IT_number 1
_space_group_name_Hall 'P 1'
_cell_length_a 6.293
_cell_length_b 6.293
_cell_length_c 5.852
_cell_angle_alpha 113.44
_cell_angle_beta 113.44
_cell_angle_gamma 31.10
loop_
_atom_site_label
_atom_site_type_symbol
_atom_site_fract_x
_atom_site_fract_y
_atom_site_fract_z
La1 La 0.000 0.000 0.000
Er1 Er 0.784 0.784 0.368
W1 W 0.240 0.240 0.876
W2 W 0.556 0.556 0.522
C1 C 0.149 0.149 0.468
C2 C 0.394 0.394 0.213
C3 C 0.650 0.650 0.926

***

No. 4
# GGA-PBE LiZrCuS3, relaxed
# Energy above the lowest structure with this stoichiometry   0.0082 eV per atom
data_LiZrCuS3
_chemical_formula_sum 'Li2 Zr2 Cu2 S6'
_space_group_name_H-M_alt 'P 1'
_space_group_IT_number 1
_space_group_name_Hall 'P 1'
_cell_length_a 6.340
_cell_length_b 6.340
_cell_length_c 9.741
_cell_angle_alpha 90.00
_cell_angle_beta 90.00
_cell_angle_gamma 146.73
loop_
_atom_site_label
_atom_site_type_symbol
_atom_site_fract_x
_atom_site_fract_y
_atom_site_fract_z
Li1 Li 0.238 0.762 0.750
Li2 Li 0.762 0.238 0.250
Zr1 Zr 0.000 0.000 0.000
Zr2 Zr 0.000 0.000 0.500
Cu1 Cu 0.474 0.526 0.250
Cu2 Cu 0.526 0.474 0.750
S1 S 0.093 0.907 0.250
S2 S 0.359 0.641 0.066
S3 S 0.359 0.641 0.434
S4 S 0.641 0.359 0.566
S5 S 0.641 0.359 0.934
S6 S 0.907 0.093 0.750

***

No. 5
# GGA-PBE UIrPt, relaxed
# Energy above the lowest structure with this stoichiometry   0.0206 eV per atom
data_UIrPt
_chemical_formula_sum 'U1 Ir1 Pt1'
_space_group_name_H-M_alt 'P 1'
_space_group_IT_number 1
_space_group_name_Hall 'P 1'
_cell_length_a 4.542
_cell_length_b 4.542
_cell_length_c 4.542
_cell_angle_alpha 60.00
_cell_angle_beta 60.00
_cell_angle_gamma 60.00
loop_
_atom_site_label
_atom_site_type_symbol
_atom_site_fract_x
_atom_site_fract_y
_atom_site_fract_z
U1 U 0.000 0.000 0.000
Ir1 Ir 0.750 0.750 0.750
Pt1 Pt 0.250 0.250 0.250

***

No. 6
# GGA-PBE LuMgNb, relaxed
# Energy above the lowest structure with this stoichiometry   0.2601 eV per atom
data_LuMgNb
_chemical_formula_sum 'Lu1 Mg1 Nb1'
_space_group_name_H-M_alt 'P 1'
_space_group_IT_number 1
_space_group_name_Hall 'P 1'
_cell_length_a 4.951
_cell_length_b 4.951
_cell_length_c 4.951
_cell_angle_alpha 60.00
_cell_angle_beta 60.00
_cell_angle_gamma 60.00
loop_
_atom_site_label
_atom_site_type_symbol
_atom_site_fract_x
_atom_site_fract_y
_atom_site_fract_z
Lu1 Lu 0.000 0.000 0.000
Mg1 Mg 0.750 0.750 0.750
Nb1 Nb 0.250 0.250 0.250

***

No. 7
# GGA-PBE TaAlAu, relaxed
# Energy   -17.5 eV per cell
data_TaAlAu
_chemical_formula_sum 'Ta1 Al1 Au1'
_space_group_name_H-M_alt 'P 1'
_space_group_IT_number 1
_space_group_name_Hall 'P 1'
_cell_length_a 4.442
_cell_length_b 4.442
_cell_length_c 4.442
_cell_angle_alpha 60.00
_cell_angle_beta 60.00
_cell_angle_gamma 60.00
loop_
_atom_site_label
_atom_site_type_symbol
_atom_site_fract_x
_atom_site_fract_y
_atom_site_fract_z
Ta1 Ta 0.000 0.000 0.000
Al1 Al 0.750 0.750 0.750
Au1 Au 0.250 0.250 0.250

***

No. 8
# GGA-PBE LiZrSe2, relaxed
# Energy   -88.6 eV per cell
data_LiZrSe2
_chemical_formula_sum 'Li4 Zr4 Se8'
_space_group_name_H-M_alt 'P 1'
_space_group_IT_number 1
_space_group_name_Hall 'P 1'
_cell_length_a 8.301
_cell_length_b 5.348
_cell_length_c 8.650
_cell_angle_alpha 90.00
_cell_angle_beta 90.00
_cell_angle_gamma 90.00
loop_
_atom_site_label
_atom_site_type_symbol
_atom_site_fract_x
_atom_site_fract_y
_atom_site_fract_z
Li1 Li 0.089 0.250 0.107
Li2 Li 0.411 0.750 0.607
Li3 Li 0.589 0.250 0.393
Li4 Li 0.911 0.750 0.893
Zr1 Zr 0.065 0.250 0.617
Zr2 Zr 0.435 0.750 0.117
Zr3 Zr 0.565 0.250 0.883
Zr4 Zr 0.935 0.750 0.383
Se1 Se 0.092 0.750 0.647
Se2 Se 0.112 0.750 0.126
Se3 Se 0.388 0.250 0.626
Se4 Se 0.408 0.250 0.147
Se5 Se 0.592 0.750 0.853
Se6 Se 0.612 0.750 0.374
Se7 Se 0.888 0.250 0.874
Se8 Se 0.908 0.250 0.353

***

No. 9
# GGA-PBE GdErPbC, relaxed
# Energy   -48.2 eV per cell
data_GdErPbC
_chemical_formula_sum 'Gd2 Er2 Pb2 C2'
_space_group_name_H-M_alt 'P 1'
_space_group_IT_number 1
_space_group_name_Hall 'P 1'
_cell_length_a 3.637
_cell_length_b 3.637
_cell_length_c 16.171
_cell_angle_alpha 90.00
_cell_angle_beta 90.00
_cell_angle_gamma 120.00
loop_
_atom_site_label
_atom_site_type_symbol
_atom_site_fract_x
_atom_site_fract_y
_atom_site_fract_z
Gd1 Gd 0.333 0.667 0.416
Gd2 Gd 0.667 0.333 0.584
Er1 Er 0.333 0.667 0.081
Er2 Er 0.667 0.333 0.919
Pb1 Pb 0.333 0.667 0.754
Pb2 Pb 0.667 0.333 0.246
C1 C 0.000 0.000 0.000
C2 C 0.000 0.000 0.500

***

No. 10
# GGA-PBE ScBeGaFe, relaxed
# Energy above the lowest structure with this stoichiometry   0.0651 eV per atom
data_ScBeGaFe
_chemical_formula_sum 'Sc1 Be1 Ga1 Fe1'
_space_group_name_H-M_alt 'P 1'
_space_group_IT_number 1
_space_group_name_Hall 'P 1'
_cell_length_a 4.223
_cell_length_b 4.223
_cell_length_c 4.223
_cell_angle_alpha 60.00
_cell_angle_beta 60.00
_cell_angle_gamma 60.00
loop_
_atom_site_label
_atom_site_type_symbol
_atom_site_fract_x
_atom_site_fract_y
_atom_site_fract_z
Sc1 Sc 0.000 0.000 0.000
Be1 Be 0.250 0.250 0.250
Ga1 Ga 0.500 0.500 0.500
Fe1 Fe 0.750 0.750 0.750

***

No. 11
# GGA-PBE HfInFeOs, relaxed
# Energy above the lowest structure with this stoichiometry   0.0000 eV per atom
data_HfInFeOs
_chemical_formula_sum 'Hf1 In1 Fe1 Os1'
_space_group_name_H-M_alt 'P 1'
_space_group_IT_number 1
_space_group_name_Hall 'P 1'
_cell_length_a 4.518
_cell_length_b 4.518
_cell_length_c 4.518
_cell_angle_alpha 60.00
_cell_angle_beta 60.00
_cell_angle_gamma 60.00
loop_
_atom_site_label
_atom_site_type_symbol
_atom_site_fract_x
_atom_site_fract_y
_atom_site_fract_z
Hf1 Hf 0.000 0.000 0.000
In1 In 0.500 0.500 0.500
Fe1 Fe 0.750 0.750 0.750
Os1 Os 0.250 0.250 0.250

***

No. 12
# GGA-PBE DyTaCo, relaxed
# Energy   -19.0 eV per cell
data_DyTaCo
_chemical_formula_sum 'Dy1 Ta1 Co1'
_space_group_name_H-M_alt 'P 1'
_space_group_IT_number 1
_space_group_name_Hall 'P 1'
_cell_length_a 4.403
_cell_length_b 4.403
_cell_length_c 4.403
_cell_angle_alpha 60.00
_cell_angle_beta 60.00
_cell_angle_gamma 60.00
loop_
_atom_site_label
_atom_site_type_symbol
_atom_site_fract_x
_atom_site_fract_y
_atom_site_fract_z
Dy1 Dy 0.000 0.000 0.000
Ta1 Ta 0.250 0.250 0.250
Co1 Co 0.750 0.750 0.750

***

| no. | calculated volume (Å³/cell) |
| --- | --- |
| 1 | 250.1 |
| 2 | 216.7 |
| 3 | 109.0 |
| 4 | 214.8 |
| 5 | 66.3 |
| 6 | 85.8 |
| 7 | 62.0 |
| 8 | 384.0 |
| 9 | 185.3 |
| 10 | 53.3 |
| 11 | 65.2 |
| 12 | 60.4 |